[1]
! PBEsol Ir2PtRh, optimized geometry; values from VASP
! * energy above the lowest structure with this stoichiometry: 21 meV/atom
! * crystal system: monoclinic
! * E_form: 1.4 kJ per mole of atoms
&SYSTEM
  ibrav = 0, nat = 4, ntyp = 3
/
ATOMIC_SPECIES
Ir 192.22 Ir.upf
Pt 195.08 Pt.upf
Rh 102.91 Rh.upf
CELL_PARAMETERS angstrom
4.494 -1.358 0.000
4.494 1.358 0.000
-0.813 0.000 4.627
ATOMIC_POSITIONS angstrom
Ir 0.000 0.000 0.000
Ir 6.507 0.000 1.099
Pt 1.623 0.000 3.425
Rh 4.042 0.000 2.259

[2]
! PBEsol Ir2PtRh, optimized geometry; values from VASP
! * energy above the lowest structure with this stoichiometry: 0 meV/atom
! * crystal system: tetragonal
! * E_form: -0.6 kJ per mole of atoms
&SYSTEM
  ibrav = 0, nat = 4, ntyp = 3
/
ATOMIC_SPECIES
Ir 192.22 Ir.upf
Pt 195.08 Pt.upf
Rh 102.91 Rh.upf
CELL_PARAMETERS angstrom
2.710 0.000 0.000
0.000 2.710 0.000
0.000 0.000 7.705
ATOMIC_POSITIONS angstrom
Ir 0.000 0.000 0.000
Ir 1.355 1.355 1.856
Pt 0.000 0.000 3.848
Rh 1.355 1.355 5.836

[3]
! PBEsol IrPtRh2, optimized geometry; values from VASP
! * energy above the lowest structure with this stoichiometry: 16 meV/atom
! * crystal system: orthorhombic
! * E_form: -2.7 kJ per mole of atoms
&SYSTEM
  ibrav = 0, nat = 4, ntyp = 3
/
ATOMIC_SPECIES
Ir 192.22 Ir.upf
Pt 195.08 Pt.upf
Rh 102.91 Rh.upf
CELL_PARAMETERS angstrom
2.704 0.000 0.000
0.000 3.816 0.000
0.000 0.000 5.411
ATOMIC_POSITIONS angstrom
Ir 0.000 0.000 0.000
Pt 0.000 0.000 2.705
Rh 1.352 1.908 1.315
Rh 1.352 1.908 4.096

[4]
! PBEsol IrPtRh2, optimized geometry; values from VASP
! * energy above the lowest structure with this stoichiometry: 27 meV/atom
! * crystal system: tetragonal
! * E_form: -1.6 kJ per mole of atoms
&SYSTEM
  ibrav = 0, nat = 4, ntyp = 3
/
ATOMIC_SPECIES
Ir 192.22 Ir.upf
Pt 195.08 Pt.upf
Rh 102.91 Rh.upf
CELL_PARAMETERS angstrom
-1.909 1.909 3.827
1.909 -1.909 3.827
1.909 1.909 -3.827
ATOMIC_POSITIONS angstrom
Ir 0.000 0.000 0.000
Pt 0.000 0.000 3.827
Rh 1.909 0.000 1.913
Rh 0.000 1.909 1.913

[5]
! PBEsol IrPt2Rh, optimized geometry; values from VASP
! * energy above the lowest structure with this stoichiometry: 25 meV/atom
! * crystal system: monoclinic
! * E_form: 1.6 kJ per mole of atoms
&SYSTEM
  ibrav = 0, nat = 4, ntyp = 3
/
ATOMIC_SPECIES
Ir 192.22 Ir.upf
Pt 195.08 Pt.upf
Rh 102.91 Rh.upf
CELL_PARAMETERS angstrom
4.515 -1.367 0.000
4.515 1.367 0.000
-0.825 0.000 4.650
ATOMIC_POSITIONS angstrom
Ir 0.000 0.000 0.000
Pt 1.643 0.000 3.482
Pt 4.068 0.000 2.291
Rh 6.517 0.000 1.107

[6]
! PBEsol IrPt2Rh, optimized geometry; values from VASP
! * energy above the lowest structure with this stoichiometry: 54 meV/atom
! * crystal system: tetragonal
! * E_form: 4.3 kJ per mole of atoms
&SYSTEM
  ibrav = 0, nat = 4, ntyp = 3
/
ATOMIC_SPECIES
Ir 192.22 Ir.upf
Pt 195.08 Pt.upf
Rh 102.91 Rh.upf
CELL_PARAMETERS angstrom
2.737 0.000 0.000
0.000 2.737 0.000
0.000 0.000 7.662
ATOMIC_POSITIONS angstrom
Ir 0.000 0.000 0.000
Pt 1.369 1.369 1.916
Pt 1.369 1.369 5.746
Rh 0.000 0.000 3.831